# MnBi4Se7

MnBi4Se7 after structural relaxation (PBE-GGA, the Alexandria database).

Summary:
raw total energy = -107.1 eV per cell
size of the total moment = 0.42 μB per atom
theoretical density = 6.945 g/cm³
crystal system = monoclinic

abc: 13.626 4.145 12.636
angles: 90.00 104.69 90.00
Space group Cm (No. 8)
One atom of each set of equivalent atoms:
Mn (0.000, 0.000, 0.000) [2 per cell]
Bi (0.120, 0.000, 0.433) [2 per cell]
Bi (0.257, 0.000, 0.866) [2 per cell]
Bi (0.261, 0.500, 0.171) [2 per cell]
Bi (0.427, 0.000, 0.578) [2 per cell]
Se (0.081, 0.000, 0.646) [2 per cell]
Se (0.125, 0.000, 0.196) [2 per cell]
Se (0.130, 0.500, 0.960) [2 per cell]
Se (0.282, 0.500, 0.455) [2 per cell]
Se (0.380, 0.500, 0.806) [2 per cell]
Se (0.393, 0.000, 0.072) [2 per cell]
Se (0.465, 0.000, 0.372) [2 per cell]